A plane-wave DFT calculation with PBE was carried out for a relaxed structure of HClF2.

Lattice parameters (Å, degrees): 5.0424 5.4574 5.9792 117.12 97.08 102.88
Space group P1 (No. 1)
Unique sites:
H 0.0000 0.0000 0.0000 [1 per cell]
H 0.0853 0.4459 0.2865 [1 per cell]
Cl 0.4235 0.3200 0.8149 [1 per cell]
Cl 0.7193 0.4222 0.6486 [1 per cell]
F 0.0467 0.2083 0.0139 [1 per cell]
F 0.1128 0.5896 0.4690 [1 per cell]
F 0.5556 0.1375 0.3386 [1 per cell]
F 0.9451 0.7604 0.9932 [1 per cell]

Values from the calculation:
* relative energy among the computed polymorphs: 0.000 eV per atom
* total moment: 0.00 μB/f.u.
* total DFT energy (no corrections): -3.23 eV per atom